# CsHoMnF6

Crystalline CsHoMnF6 at its relaxed geometry (PBE+U, Alexandria via LeMat-Bulk).

Lattice parameters (Å, degrees): 5.9261 5.9261 6.3466 90.04 90.04 120.11
Last column: nearest neighbours and their distance in Å.
Fractional coordinates of all 9 atoms:
Cs (0.0000, 0.0000, 0.0000)  6 F 3.06
Ho (0.3334, 0.6666, 0.5000)  6 F 2.18-2.19
Mn (0.6666, 0.3334, 0.5000)  6 F 2.15-2.17
F (0.3922, 0.3912, 0.6860)  1 Mn 2.17, 1 Ho 2.18
F (0.3938, 0.0047, 0.3156)  1 Mn 2.15, 1 Ho 2.19
F (0.6090, 0.0031, 0.6864)  1 Mn 2.16, 1 Ho 2.18
F (0.6088, 0.6078, 0.3140)  1 Mn 2.17, 1 Ho 2.18
F (0.9953, 0.6062, 0.6844)  1 Mn 2.15, 1 Ho 2.19
F (0.9969, 0.3910, 0.3136)  1 Mn 2.16, 1 Ho 2.18

Summary:
Mass density: 4.020 g cm⁻³
Spin magnetization: 5.0 μB/f.u.
Crystal system: monoclinic
Raw total energy: -54.40 eV/f.u.